Entry 1:
Entry from Alexandria: a relaxed YHg2Sb crystal (GGA-PBEsol).

Summary:
Symmetry: Imm2, No. 44
Energy relative to the elements, uncorrected, meV per atom: -453

a = 4.423 Å, b = 4.425 Å, c = 5.791 Å
α = 112.50°, β = 112.45°, γ = 90.00°
Atoms (fractional coordinates):
Hg 0.000 0.000 0.000
Y 0.251 0.751 0.502
Sb 0.501 0.501 0.001
Hg 0.749 0.249 0.497

Entry 2:
Entry from Alexandria: a relaxed Na6MgS4O16 crystal (GGA-PBEsol).

Summary:
Symmetry: P2_1/c, No. 14
Energy relative to the elements, uncorrected, meV per atom: -1889

a = 8.175 Å, b = 9.187 Å, c = 9.821 Å
α = 90.00°, β = 113.61°, γ = 90.00°
Atoms (fractional coordinates):
O 0.343 0.602 0.094
O 0.860 0.692 0.669
O 0.429 0.103 0.866
Na 0.911 0.151 0.551
O 0.140 0.308 0.331
O 0.331 0.593 0.801
Na 0.684 0.137 0.113
Mg 0.000 0.000 0.000
O 0.822 0.397 0.464
Na 0.184 0.363 0.113
O 0.497 0.417 0.354
O 0.503 0.583 0.646
O 0.678 0.897 0.536
S 0.277 0.194 0.861
Na 0.033 0.485 0.688
O 0.320 0.756 0.289
O 0.157 0.102 0.906
Na 0.533 0.015 0.688
Na 0.816 0.637 0.887
S 0.846 0.853 0.662
O 0.360 0.808 0.669
O 0.657 0.398 0.906
Na 0.089 0.849 0.449
O 0.003 0.917 0.646
O 0.997 0.083 0.354
O 0.654 0.685 0.028
Na 0.411 0.349 0.551
O 0.831 0.907 0.801
O 0.169 0.093 0.199
S 0.723 0.806 0.139
S 0.346 0.647 0.662
O 0.640 0.192 0.331
O 0.820 0.744 0.289
Na 0.316 0.863 0.887
O 0.178 0.603 0.536
O 0.154 0.815 0.028
O 0.669 0.407 0.199
S 0.154 0.147 0.338
Na 0.967 0.515 0.312
Mg 0.500 0.500 0.000
O 0.846 0.185 0.972
O 0.843 0.898 0.094
Na 0.589 0.651 0.449
O 0.571 0.897 0.134
S 0.223 0.694 0.139
O 0.180 0.256 0.711
Na 0.467 0.985 0.312
S 0.654 0.353 0.338
O 0.680 0.244 0.711
O 0.071 0.603 0.134
S 0.777 0.306 0.861
O 0.929 0.397 0.866
O 0.346 0.315 0.972
O 0.322 0.103 0.464

Entry 3:
Entry from Alexandria: a relaxed LiSi4Pt crystal (GGA-PBEsol).

Summary:
Symmetry: F-43m, No. 216
Energy relative to the elements, uncorrected, meV per atom: 190

a = 4.994 Å, b = 4.994 Å, c = 4.994 Å
α = 60.00°, β = 60.00°, γ = 60.00°
Atoms (fractional coordinates):
Si 0.375 0.375 0.375
Si 0.874 0.375 0.375
Li 0.750 0.750 0.750
Si 0.375 0.375 0.874
Pt 0.000 0.000 0.000
Si 0.375 0.874 0.375

Entry 4:
Entry from Alexandria: a relaxed YBe2In2 crystal (GGA-PBEsol).

Summary:
Symmetry: I4/mmm, No. 139
ΔE_f, eV per atom: -0.09

a = 4.159 Å, b = 4.159 Å, c = 6.062 Å
α = 110.06°, β = 110.06°, γ = 90.00°
Atoms (fractional coordinates):
In 0.371 0.371 0.743
In 0.629 0.629 0.257
Y 0.000 0.000 0.000
Be 0.250 0.750 0.500
Be 0.750 0.250 0.500

Entry 5:
Entry from Alexandria: a relaxed Sr2PtN2 crystal (GGA-PBEsol).

Summary:
Symmetry: I4/mmm, No. 139
Energy relative to the elements, uncorrected, meV per atom: -666

a = 3.820 Å, b = 3.820 Å, c = 6.895 Å
α = 106.08°, β = 106.08°, γ = 90.00°
Atoms (fractional coordinates):
N 0.150 0.150 0.299
Sr 0.649 0.649 0.298
Sr 0.351 0.351 0.702
Pt 0.000 0.000 0.000
N 0.850 0.850 0.701

Entry 6:
Entry from Alexandria: a relaxed Fe2PbW crystal (GGA-PBEsol).

Summary:
Symmetry: I-4m2, No. 119
ΔE_f, eV per atom: 0.72

a = 3.776 Å, b = 3.776 Å, c = 4.918 Å
α = 112.58°, β = 112.58°, γ = 90.00°
Site moments in Bohr magnetons follow the coordinates.
Atoms (fractional coordinates):
Fe 0.750 0.250 0.500  1.70
Pb 0.500 0.500 0.000  -0.03
W 0.250 0.750 0.500  -0.13
Fe 0.000 0.000 0.000  0.91

Entry 7:
Entry from Alexandria: a relaxed RbTmBeF6 crystal (GGA-PBEsol).

Summary:
Symmetry: P2_1/m, No. 11
Energy relative to the elements, uncorrected, meV per atom: -3648

a = 5.734 Å, b = 6.388 Å, c = 7.096 Å
α = 113.92°, β = 90.00°, γ = 90.00°
Atoms (fractional coordinates):
F 0.750 0.426 0.388
F 0.250 0.004 0.730
F 0.531 0.245 0.597
Tm 0.750 0.606 0.176
F 0.469 0.755 0.403
F 0.750 0.996 0.270
Rb 0.250 0.082 0.213
F 0.999 0.324 0.029
F 0.001 0.676 0.971
Tm 0.250 0.394 0.824
F 0.969 0.245 0.597
Be 0.250 0.769 0.537
Rb 0.750 0.918 0.787
F 0.499 0.676 0.971
F 0.501 0.324 0.029
F 0.031 0.755 0.403
Be 0.750 0.231 0.463
F 0.250 0.574 0.612

Entry 8:
Entry from Alexandria: a relaxed OsW2Au crystal (GGA-PBEsol).

Summary:
Symmetry: P4/mmm, No. 123
Relative energy among the computed polymorphs, meV per atom: 0.0
ΔE_f, eV per atom: 0.19

a = 2.783 Å, b = 2.783 Å, c = 7.986 Å
α = 90.00°, β = 90.00°, γ = 90.00°
Atoms (fractional coordinates):
W 0.000 0.000 0.266
Os 0.500 0.500 0.500
Au 0.500 0.500 0.000
W 0.000 0.000 0.734

Entry 9:
Entry from Alexandria: a relaxed TaTi2F crystal (GGA-PBEsol).

Summary:
Symmetry: Fm-3m, No. 225
Energy relative to the elements, uncorrected, meV per atom: 110

a = 4.401 Å, b = 4.401 Å, c = 4.401 Å
α = 60.00°, β = 60.00°, γ = 60.00°
Atoms (fractional coordinates):
Ta 0.500 0.500 0.500
Ti 0.250 0.250 0.250
F 0.000 0.000 0.000
Ti 0.750 0.750 0.750

Entry 10:
Entry from Alexandria: a relaxed IrRu3 crystal (GGA-PBEsol).

Summary:
Symmetry: P-6m2, No. 187
ΔE_f, eV per atom: -0.03

a = 2.697 Å, b = 2.697 Å, c = 8.546 Å
α = 90.00°, β = 90.00°, γ = 120.00°
Atoms (fractional coordinates):
Ir 0.000 0.000 0.000
Ru 0.667 0.333 0.255
Ru 0.667 0.333 0.745
Ru 0.000 0.000 0.500

Entry 11:
Entry from Alexandria: a relaxed TcAg2SbBr crystal (GGA-PBEsol).

Summary:
Symmetry: P4/mmm, No. 123
Energy relative to the elements, uncorrected, meV per atom: 1203

a = 4.700 Å, b = 4.947 Å, c = 4.947 Å
α = 90.00°, β = 90.00°, γ = 90.00°
Site moments in Bohr magnetons follow the coordinates.
Atoms (fractional coordinates):
Sb 0.500 0.500 0.500  0.01
Ag 0.000 0.000 0.500  0.01
Br 0.000 0.000 0.000  0.05
Ag 0.000 0.500 0.000  0.01
Tc 0.500 0.000 0.000  1.86

Entry 12:
Entry from Alexandria: a relaxed TaSi2Br crystal (GGA-PBEsol).

Summary:
Symmetry: Pmmm, No. 47
Relative energy among the computed polymorphs, meV per atom: 530.9
Energy relative to the elements, uncorrected, meV per atom: 530

a = 2.919 Å, b = 4.662 Å, c = 4.858 Å
α = 90.00°, β = 90.00°, γ = 90.00°
Atoms (fractional coordinates):
Si 0.500 0.500 0.000
Br 0.000 0.500 0.500
Si 0.000 0.000 0.000
Ta 0.500 0.000 0.500

Entry 13:
Entry from Alexandria: a relaxed Rb2LiSmCl6 crystal (GGA-PBEsol).

Summary:
Symmetry: Fm-3m, No. 225
Energy relative to the elements, uncorrected, meV per atom: -2076

a = 7.316 Å, b = 7.316 Å, c = 7.316 Å
α = 60.00°, β = 60.00°, γ = 60.00°
Atoms (fractional coordinates):
Rb 0.250 0.250 0.250
Li 0.000 0.000 0.000
Cl 0.757 0.243 0.243
Cl 0.757 0.243 0.757
Rb 0.750 0.750 0.750
Cl 0.243 0.243 0.757
Cl 0.243 0.757 0.243
Sm 0.500 0.500 0.500
Cl 0.243 0.757 0.757
Cl 0.757 0.757 0.243

Entry 14:
Entry from Alexandria: a relaxed TaCo crystal (GGA-PBEsol).

Summary:
Symmetry: P6_3/mmc, No. 194
ΔE_f, eV per atom: 0.02

a = 3.724 Å, b = 3.724 Å, c = 4.935 Å
α = 90.00°, β = 90.00°, γ = 120.00°
Atoms (fractional coordinates):
Ta 0.333 0.667 0.250
Ta 0.667 0.333 0.750
Co 0.000 0.000 0.500
Co 0.000 0.000 0.000

Entry 15:
Entry from Alexandria: a relaxed ScZn4Os crystal (GGA-PBEsol).

Summary:
Symmetry: F-43m, No. 216
ΔE_f, eV per atom: -0.25

a = 4.914 Å, b = 4.914 Å, c = 4.914 Å
α = 60.00°, β = 60.00°, γ = 60.00°
Atoms (fractional coordinates):
Sc 0.000 0.000 0.000
Zn 0.376 0.376 0.376
Os 0.750 0.750 0.750
Zn 0.376 0.376 0.872
Zn 0.376 0.872 0.376
Zn 0.872 0.376 0.376

Entry 16:
Entry from Alexandria: a relaxed Cs3Sm7Te12 crystal (GGA-PBEsol).

Summary:
Symmetry: Pmn2_1, No. 31
Energy relative to the elements, uncorrected, meV per atom: -1397

a = 4.446 Å, b = 13.657 Å, c = 28.097 Å
α = 90.00°, β = 90.00°, γ = 90.00°
Atoms (fractional coordinates):
Sm 0.500 0.670 0.318
Sm 0.000 0.745 0.001
Te 0.000 0.504 0.301
Te 0.500 0.588 0.021
Te 0.500 0.312 0.395
Sm 0.500 0.962 0.084
Sm 0.500 0.159 0.714
Te 0.500 0.324 0.175
Te 0.000 0.825 0.323
Te 0.500 0.814 0.790
Te 0.000 0.377 0.925
Sm 0.000 0.467 0.414
Sm 0.500 0.339 0.286
Te 0.000 0.102 0.480
Te 0.000 0.117 0.075
Te 0.500 0.898 0.980
Sm 0.500 0.533 0.914
Te 0.500 0.688 0.210
Sm 0.500 0.255 0.501
Sm 0.000 0.330 0.818
Te 0.000 0.312 0.710
Cs 0.500 0.031 0.372
Te 0.500 0.175 0.823
Te 0.500 0.004 0.198
Te 0.000 0.996 0.698
Te 0.500 0.883 0.575
Te 0.500 0.496 0.801
Te 0.000 0.676 0.675
Te 0.500 0.191 0.605
Cs 0.000 0.537 0.134
Cs 0.500 0.306 0.027
Te 0.000 0.688 0.895
Sm 0.000 0.038 0.584
Te 0.500 0.623 0.425
Sm 0.000 0.167 0.181
Cs 0.000 0.694 0.527
Sm 0.500 0.833 0.681
Cs 0.000 0.969 0.872
Te 0.000 0.809 0.105
Sm 0.000 0.661 0.786
Te 0.000 0.186 0.290
Sm 0.000 0.841 0.214
Te 0.000 0.412 0.521
Cs 0.500 0.463 0.634

Entry 17:
Entry from Alexandria: a relaxed Ba2Tl3 crystal (GGA-PBEsol).

Summary:
Symmetry: P-3m1, No. 164
ΔE_f, eV per atom: -0.15

a = 5.600 Å, b = 5.600 Å, c = 7.244 Å
α = 90.00°, β = 90.00°, γ = 120.00°
Atoms (fractional coordinates):
Tl 0.000 0.000 0.000
Tl 0.333 0.667 0.351
Tl 0.667 0.333 0.649
Ba 0.333 0.667 0.818
Ba 0.667 0.333 0.182

Entry 18:
Entry from Alexandria: a relaxed ZnSb2 crystal (GGA-PBEsol).

Summary:
Symmetry: P6_3/mmc, No. 194
Energy relative to the elements, uncorrected, meV per atom: 238

a = 4.913 Å, b = 4.913 Å, c = 6.546 Å
α = 90.00°, β = 90.00°, γ = 120.00°
Atoms (fractional coordinates):
Sb 0.000 0.000 0.000
Sb 0.000 0.000 0.500
Sb 0.333 0.667 0.250
Zn 0.667 0.333 0.250
Zn 0.333 0.667 0.750
Sb 0.667 0.333 0.750

Entry 19:
Entry from Alexandria: a relaxed SrBi2Pt2 crystal (GGA-PBEsol).

Summary:
Symmetry: I4/mmm, No. 139
ΔE_f, eV per atom: -0.49

a = 4.919 Å, b = 4.919 Å, c = 6.269 Å
α = 113.10°, β = 113.10°, γ = 90.00°
Atoms (fractional coordinates):
Sr 0.000 0.000 0.000
Bi 0.250 0.750 0.500
Pt 0.375 0.375 0.750
Bi 0.750 0.250 0.500
Pt 0.625 0.625 0.250

Entry 20:
Entry from Alexandria: a relaxed KCu2H3S2O10 crystal (GGA-PBEsol).

Summary:
Raw total energy, eV per atom: -5.7372
Symmetry: Cm, No. 8

a = 5.483 Å, b = 5.483 Å, c = 7.380 Å
α = 98.90°, β = 109.17°, γ = 110.49°
Site moments in Bohr magnetons follow the coordinates.
Atoms (fractional coordinates):
O 0.682 0.807 0.489  0.04
O 0.069 0.774 0.236  0.06
O 0.006 0.181 0.187  0.00
O 0.462 0.167 0.236  0.06
O 0.538 0.833 0.764  0.06
O 0.931 0.227 0.764  0.06
H 0.486 0.288 0.773  0.00
S 0.212 0.081 0.293  0.00
O 0.319 0.193 0.512  0.03
Cu 0.005 0.502 0.001  0.63
S 0.788 0.920 0.707  0.00
Cu 0.499 0.996 0.001  0.63
H 0.512 0.710 0.222  0.00
H 0.507 0.484 0.991  0.00
O 0.994 0.820 0.814  0.00
O 0.582 0.342 0.924  0.12
K 0.000 0.501 0.500  0.00
O 0.417 0.655 0.072  0.17

Entry 21:
Entry from Alexandria: a relaxed Ag3As crystal (GGA-PBEsol).

Summary:
Symmetry: I4/mmm, No. 139
ΔE_f, eV per atom: 0.07

a = 4.068 Å, b = 4.068 Å, c = 8.697 Å
α = 103.52°, β = 103.52°, γ = 90.00°
Atoms (fractional coordinates):
Ag 0.876 0.876 0.753
Ag 0.250 0.750 0.500
Ag 0.000 0.500 0.000
Ag 0.500 0.000 0.000
As 0.373 0.373 0.745
Ag 0.124 0.124 0.247
Ag 0.750 0.250 0.500
As 0.627 0.627 0.255

Entry 22:
Entry from Alexandria: a relaxed BeSiC2 crystal (GGA-PBEsol).

Summary:
Symmetry: I-42d, No. 122
Energy relative to the elements, uncorrected, meV per atom: 600

a = 3.856 Å, b = 3.856 Å, c = 5.655 Å
α = 109.93°, β = 109.93°, γ = 90.00°
Atoms (fractional coordinates):
Si 0.250 0.750 0.500
C 0.861 0.375 0.250
Si 0.000 0.000 0.000
Be 0.750 0.250 0.500
C 0.125 0.139 0.750
Be 0.500 0.500 0.000
C 0.389 0.875 0.250
C 0.625 0.611 0.750